Below is a relaxed structure of H6Pt2Au, with properties calculated at the GGA-PBE level. Values from VASP.

The structure in Quantum ESPRESSO input format:
```
&SYSTEM
  ibrav = 0, nat = 9, ntyp = 3
/
ATOMIC_SPECIES
Pt 195.08 Pt.upf
H 1.01 H.upf
Au 196.97 Au.upf
CELL_PARAMETERS angstrom
-1.0083 -1.8962 2.6186
-5.1841 0.2400 -1.8295
4.9646 -3.9425 -1.6603
ATOMIC_POSITIONS crystal
Pt 0.0094 0.2956 0.5484
H 0.4846 0.6853 0.4133
Au 0.0000 0.0000 0.0000
H 0.0878 0.6175 0.8908
H 0.0362 0.1260 0.7066
H 0.5154 0.3147 0.5867
H 0.9122 0.3825 0.1092
Pt 0.9906 0.7044 0.4516
H 0.9638 0.8740 0.2934
```

space-group type = P-1, No. 2
theoretical density = 10.75 g/cm3
energy = -34.99 eV/cell

Below is a relaxed structure of HPtAu3, with properties calculated at the GGA-PBE level. Values from VASP.

The structure in Quantum ESPRESSO input format:
```
&SYSTEM
  ibrav = 0, nat = 5, ntyp = 3
/
ATOMIC_SPECIES
Au 196.97 Au.upf
Pt 195.08 Pt.upf
H 1.01 H.upf
CELL_PARAMETERS angstrom
4.1760 0.0000 0.0000
0.0000 4.1760 0.0000
0.0000 0.0000 4.1760
ATOMIC_POSITIONS crystal
Au 0.0000 0.0000 0.5000
Au 0.5000 0.0000 0.0000
Au 0.0000 0.5000 0.0000
Pt 0.5000 0.5000 0.5000
H 0.0000 0.0000 0.0000
```

space-group type = Pm-3m, No. 221
excess energy over the best structure of this formula in the dataset = 0.0 meV/atom
theoretical density = 17.94 g/cm3
energy = -17.90 eV/cell